Record 1
Material: Pr2SiBiO6
Method: DFT, GGA-PBE
State: relaxed

abc: 5.416 5.416 5.256
angles: 90.00 90.00 90.00
Atoms (fractional coordinates):
Pr 0.000 0.500 0.000
Pr 0.500 0.000 0.000
Si 0.000 0.000 0.620
Bi 0.500 0.500 0.514
O 0.000 0.000 0.302
O 0.219 0.219 0.735
O 0.219 0.781 0.735
O 0.500 0.500 0.087
O 0.781 0.219 0.735
O 0.781 0.781 0.735

Calculated values
Formation energy without anion corrections = -2.38 eV per atom
Total magnetization = 0.00 μB/f.u.
Density of states at the Fermi level = 2.681 states/eV/f.u.
Space-group type = P4mm

***

Record 2
Material: MnPb2Br
Method: DFT, GGA-PBE
State: relaxed

abc: 3.619 5.239 5.899
angles: 90.00 97.66 90.00
Atoms (fractional coordinates):
Mn 0.000 0.000 0.000
Pb 0.323 0.500 0.227
Pb 0.677 0.500 0.773
Br 0.000 0.000 0.500

Calculated values
Formation energy without anion corrections = 0.21 eV per atom
Total magnetization = 4.27 μB/f.u.
Density of states at the Fermi level = 2.551 states/eV/f.u.
Space-group type = P2/m
ΔE to the lowest computed polymorph = 183 meV/atom

***

Record 3
Material: RbTl2CrS4
Method: DFT, GGA-PBE
State: relaxed

abc: 6.498 6.499 7.930
angles: 114.05 113.99 90.06
Atoms (fractional coordinates):
Rb 0.000 0.000 0.000
Tl 0.249 0.750 0.500
Tl 0.499 0.501 0.000
Cr 0.749 0.250 0.500
S 0.055 0.512 0.687
S 0.487 0.368 0.313
S 0.630 0.175 0.688
S 0.824 0.944 0.313

Calculated values
Formation energy without anion corrections = -0.54 eV per atom
Total magnetization = 1.00 μB/f.u.
Density of states at the Fermi level = 2.001 states/eV/f.u.
Space-group type = P1

***

Record 4
Material: ZnSbNF2
Method: DFT, GGA-PBE
State: relaxed

abc: 4.411 4.411 4.133
angles: 90.00 90.00 90.00
Atoms (fractional coordinates):
Zn 0.000 0.000 0.000
Sb 0.500 0.500 0.500
N 0.500 0.500 0.000
F 0.000 0.500 0.500
F 0.500 0.000 0.500

Calculated values
Formation energy without anion corrections = -0.46 eV per atom
Total magnetization = 0.00 μB/f.u.
Density of states at the Fermi level = 2.187 states/eV/f.u.
Space-group type = P4/mmm
ΔE to the lowest computed polymorph = 131 meV/atom

***

Record 5
Material: GePd3Se
Method: DFT, GGA-PBE
State: relaxed

abc: 4.007 7.458 6.239
angles: 90.00 90.00 90.00
Atoms (fractional coordinates):
Ge 0.000 0.143 0.000
Ge 0.000 0.857 0.500
Pd 0.000 0.179 0.583
Pd 0.000 0.821 0.083
Pd 0.500 0.077 0.254
Pd 0.500 0.303 0.869
Pd 0.500 0.697 0.369
Pd 0.500 0.923 0.754
Se 0.500 0.369 0.471
Se 0.500 0.631 0.971

Calculated values
Formation energy without anion corrections = -0.35 eV per atom
Total magnetization = 0.00 μB/f.u.
Density of states at the Fermi level = 2.405 states/eV/f.u.
Space-group type = Pmc2_1
ΔE to the lowest computed polymorph = 0 meV/atom

***

Record 6
Material: LaAlAsO2
Method: DFT, GGA-PBE
State: relaxed

abc: 6.829 6.829 5.290
angles: 90.00 90.00 131.25
Atoms (fractional coordinates):
La 0.118 0.882 0.750
La 0.882 0.118 0.250
Al 0.482 0.518 0.250
Al 0.518 0.482 0.750
As 0.264 0.736 0.250
As 0.736 0.264 0.750
O 0.275 0.275 0.000
O 0.275 0.275 0.500
O 0.725 0.725 0.000
O 0.725 0.725 0.500

Calculated values
Formation energy without anion corrections = -2.22 eV per atom
Total magnetization = 0.00 μB/f.u.
Density of states at the Fermi level = 1.578 states/eV/f.u.
Space-group type = Cmcm

***

Record 7
Material: BaSb2Au
Method: DFT, GGA-PBE
State: relaxed

abc: 4.012 4.012 7.511
angles: 90.00 90.00 90.00
Atoms (fractional coordinates):
Ba 0.000 0.000 0.000
Sb 0.000 0.000 0.515
Sb 0.500 0.500 0.344
Au 0.500 0.500 0.753

Calculated values
Formation energy without anion corrections = -0.40 eV per atom
Total magnetization = 0.00 μB/f.u.
Density of states at the Fermi level = 1.142 states/eV/f.u.
Space-group type = P4mm

***

Record 8
Material: Cd3MoI
Method: DFT, GGA-PBE
State: relaxed

abc: 5.622 5.622 5.622
angles: 90.00 90.00 90.00
Atoms (fractional coordinates):
Cd 0.000 0.000 0.500
Cd 0.000 0.500 0.000
Cd 0.500 0.000 0.000
Mo 0.000 0.000 0.000
I 0.500 0.500 0.500

Calculated values
Formation energy without anion corrections = 0.77 eV per atom
Total magnetization = 4.04 μB/f.u.
Density of states at the Fermi level = 2.409 states/eV/f.u.
Space-group type = Pm-3m
ΔE to the lowest computed polymorph = 0 meV/atom

***

Record 9
Material: Pm3Sm8Y
Method: DFT, GGA-PBE
State: relaxed

abc: 8.764 8.764 6.566
angles: 111.86 111.86 83.00
Atoms (fractional coordinates):
Pm 0.000 0.000 0.000
Pm 0.250 0.250 0.697
Pm 0.750 0.750 0.303
Sm 0.094 0.406 0.182
Sm 0.214 0.710 0.712
Sm 0.290 0.786 0.288
Sm 0.406 0.094 0.182
Sm 0.594 0.906 0.818
Sm 0.710 0.214 0.712
Sm 0.786 0.290 0.288
Sm 0.906 0.594 0.818
Y 0.500 0.500 0.500

Calculated values
Total magnetization = 0.00 μB/f.u.
ΔE_f = 0.291 eV/atom
Density of states at the Fermi level = 16.561 states/eV/f.u.
Space-group type = C2/m

***

Record 10
Material: SmYMgPd
Method: DFT, GGA-PBE
State: relaxed

abc: 5.193 5.193 5.193
angles: 60.00 60.00 60.00
Atoms (fractional coordinates):
Sm 0.000 0.000 0.000
Y 0.500 0.500 0.500
Mg 0.250 0.250 0.250
Pd 0.750 0.750 0.750

Calculated values
Total magnetization = 0.00 μB/f.u.
ΔE_f = -0.379 eV/atom
Density of states at the Fermi level = 3.041 states/eV/f.u.
Space-group type = F-43m

***

Record 11
Material: Ca2Cd2Te
Method: DFT, GGA-PBE
State: relaxed

abc: 8.173 8.173 4.394
angles: 90.00 90.00 90.00
Atoms (fractional coordinates):
Ca 0.172 0.328 0.000
Ca 0.328 0.828 0.000
Ca 0.672 0.172 0.000
Ca 0.828 0.672 0.000
Cd 0.125 0.625 0.500
Cd 0.375 0.125 0.500
Cd 0.625 0.875 0.500
Cd 0.875 0.375 0.500
Te 0.000 0.000 0.500
Te 0.500 0.500 0.500

Calculated values
Formation energy without anion corrections = -0.49 eV per atom
Total magnetization = 0.00 μB/f.u.
Density of states at the Fermi level = 3.360 states/eV/f.u.
Space-group type = P4/mbm
ΔE to the lowest computed polymorph = 4 meV/atom

***

Record 12
Material: RbFe2Se
Method: DFT, GGA-PBE
State: relaxed

abc: 8.898 8.898 8.898
angles: 147.55 147.55 46.54
Atoms (fractional coordinates):
Rb 0.375 0.625 0.750
Rb 0.625 0.375 0.250
Fe 0.000 0.000 0.000
Fe 0.000 0.000 0.500
Fe 0.000 0.500 0.000
Fe 0.500 0.000 0.500
Se 0.125 0.875 0.250
Se 0.875 0.125 0.750

Calculated values
Formation energy without anion corrections = 0.38 eV per atom
Total magnetization = 4.97 μB/f.u.
Density of states at the Fermi level = 3.934 states/eV/f.u.
Space-group type = I4_1/amd
ΔE to the lowest computed polymorph = 0 meV/atom

***

Record 13
Material: LiCoAsBr2
Method: DFT, GGA-PBE
State: relaxed

abc: 4.807 4.807 4.929
angles: 90.00 90.00 90.00
Atoms (fractional coordinates):
Li 0.000 0.000 0.000
Co 0.500 0.500 0.500
As 0.000 0.000 0.500
Br 0.000 0.500 0.000
Br 0.500 0.000 0.000

Calculated values
Formation energy without anion corrections = 0.58 eV per atom
Total magnetization = 2.17 μB/f.u.
Density of states at the Fermi level = 7.526 states/eV/f.u.
Space-group type = P4/mmm
ΔE to the lowest computed polymorph = 750 meV/atom

***

Record 14
Material: Nd2SiHPt6
Method: DFT, GGA-PBE
State: relaxed

abc: 5.746 5.746 6.849
angles: 114.88 114.88 60.02
Atoms (fractional coordinates):
Nd 0.219 0.219 0.157
Nd 0.781 0.781 0.843
Si 0.500 0.500 0.000
H 0.000 0.000 0.500
Pt 0.234 0.234 0.695
Pt 0.234 0.728 0.696
Pt 0.272 0.766 0.304
Pt 0.728 0.234 0.696
Pt 0.766 0.272 0.304
Pt 0.766 0.766 0.305

Calculated values
Total magnetization = 0.00 μB/f.u.
Density of states at the Fermi level = 2.502 states/eV/f.u.
Final energy = -6.325 eV/atom
Space-group type = C2/m

***

Record 15
Material: CoSnRh2
Method: DFT, GGA-PBE
State: relaxed

abc: 9.252 9.252 9.252
angles: 155.83 155.83 34.44
Atoms (fractional coordinates):
Co 0.000 0.000 0.000
Co 0.750 0.250 0.500
Sn 0.250 0.750 0.500
Sn 0.500 0.500 0.000
Rh 0.093 0.625 0.968
Rh 0.375 0.343 0.468
Rh 0.657 0.125 0.032
Rh 0.875 0.907 0.532

Calculated values
Total magnetization = 2.16 μB/f.u.
ΔE_f = 0.258 eV/atom
Density of states at the Fermi level = 5.827 states/eV/f.u.
Space-group type = I-42d

***

Record 16
Material: Li2Tm3ScSe6
Method: DFT, GGA-PBE
State: relaxed

abc: 8.838 8.838 7.931
angles: 102.35 102.35 25.93
Atoms (fractional coordinates):
Li 0.173 0.173 0.348
Li 0.827 0.827 0.652
Tm 0.166 0.166 0.836
Tm 0.500 0.500 0.500
Tm 0.834 0.834 0.164
Sc 0.500 0.500 0.000
Se 0.004 0.004 0.246
Se 0.333 0.333 0.417
Se 0.336 0.336 0.909
Se 0.664 0.664 0.091
Se 0.667 0.667 0.583
Se 0.996 0.996 0.754

Calculated values
Formation energy without anion corrections = -1.68 eV per atom
Total magnetization = 0.00 μB/f.u.
Density of states at the Fermi level = 3.092 states/eV/f.u.
Space-group type = C2/m

***

Record 17
Material: Au3SN
Method: DFT, GGA-PBE
State: relaxed

abc: 4.819 4.819 4.819
angles: 90.00 90.00 90.00
Atoms (fractional coordinates):
Au 0.000 0.000 0.500
Au 0.000 0.500 0.000
Au 0.500 0.000 0.000
S 0.000 0.000 0.000
N 0.500 0.500 0.500

Calculated values
Formation energy without anion corrections = 1.38 eV per atom
Total magnetization = 2.30 μB/f.u.
Density of states at the Fermi level = 2.578 states/eV/f.u.
Space-group type = Pm-3m

***

Record 18
Material: La2Pr6Sm3
Method: DFT, GGA-PBE
State: relaxed

abc: 13.138 13.138 13.138
angles: 154.40 154.40 36.52
Atoms (fractional coordinates):
La 0.059 0.059 0.000
La 0.941 0.941 0.000
Pr 0.097 0.597 0.500
Pr 0.202 0.202 0.000
Pr 0.403 0.903 0.500
Pr 0.597 0.097 0.500
Pr 0.798 0.798 0.000
Pr 0.903 0.403 0.500
Sm 0.340 0.340 0.000
Sm 0.500 0.500 0.000
Sm 0.660 0.660 0.000

Calculated values
Total magnetization = 0.00 μB/f.u.
ΔE_f = 0.423 eV/atom
Density of states at the Fermi level = 15.143 states/eV/f.u.
Space-group type = I4/mmm
ΔE to the lowest computed polymorph = 408 meV/atom

***

Record 19
Material: CuNiP3
Method: DFT, GGA-PBE
State: relaxed

abc: 4.384 4.384 4.384
angles: 90.00 90.00 90.00
Atoms (fractional coordinates):
Cu 0.000 0.000 0.000
Ni 0.500 0.500 0.500
P 0.000 0.500 0.500
P 0.500 0.000 0.500
P 0.500 0.500 0.000

Calculated values
Total magnetization = 0.00 μB/f.u.
ΔE_f = 0.781 eV/atom
Density of states at the Fermi level = 3.904 states/eV/f.u.
Space-group type = Pm-3m
ΔE to the lowest computed polymorph = 0 meV/atom

***

Record 20
Material: LiTlRe2S
Method: DFT, GGA-PBE
State: relaxed

abc: 4.428 4.428 4.407
angles: 90.00 90.00 90.00
Atoms (fractional coordinates):
Li 0.000 0.000 0.000
Tl 0.500 0.500 0.000
Re 0.000 0.500 0.500
Re 0.500 0.000 0.500
S 0.000 0.000 0.500

Calculated values
Formation energy without anion corrections = 0.64 eV per atom
Total magnetization = 0.00 μB/f.u.
Density of states at the Fermi level = 3.507 states/eV/f.u.
Space-group type = P4/mmm

***

Record 21
Material: Pm4ZnNi2
Method: DFT, GGA-PBE
State: relaxed

abc: 6.846 6.977 8.546
angles: 108.05 107.29 104.11
Atoms (fractional coordinates):
Pm 0.000 0.000 0.000
Pm 0.022 0.531 0.063
Pm 0.067 0.754 0.596
Pm 0.336 0.158 0.470
Pm 0.457 0.616 0.885
Pm 0.499 0.682 0.459
Pm 0.605 0.252 0.175
Pm 0.899 0.223 0.598
Zn 0.568 0.093 0.795
Zn 0.804 0.843 0.266
Ni 0.074 0.362 0.344
Ni 0.255 0.204 0.853
Ni 0.427 0.879 0.208
Ni 0.762 0.553 0.718

Calculated values
Total magnetization = 0.00 μB/f.u.
ΔE_f = -0.229 eV/atom
Density of states at the Fermi level = 6.400 states/eV/f.u.
Space-group type = P1

***

Record 22
Material: NbAlRu
Method: DFT, GGA-PBE
State: relaxed

abc: 4.414 6.928 6.928
angles: 26.36 90.00 90.00
Atoms (fractional coordinates):
Nb 0.000 0.000 0.000
Nb 0.000 0.325 0.325
Al 0.500 0.159 0.159
Al 0.500 0.473 0.473
Ru 0.000 0.661 0.661
Ru 0.500 0.817 0.817

Calculated values
Total magnetization = 0.00 μB/f.u.
ΔE_f = -0.383 eV/atom
Density of states at the Fermi level = 1.825 states/eV/f.u.
Space-group type = Amm2

***

Record 23
Material: Cd2GePd2
Method: DFT, GGA-PBE
State: relaxed

abc: 9.794 6.323 6.206
angles: 90.00 90.04 90.00
Atoms (fractional coordinates):
Cd 0.014 0.250 0.000
Cd 0.014 0.250 0.500
Cd 0.315 0.250 0.000
Cd 0.315 0.250 0.500
Cd 0.685 0.750 0.000
Cd 0.685 0.750 0.500
Cd 0.986 0.750 0.000
Cd 0.986 0.750 0.500
Ge 0.343 0.750 0.000
Ge 0.343 0.750 0.500
Ge 0.657 0.250 0.000
Ge 0.657 0.250 0.500
Pd 0.185 0.548 0.250
Pd 0.185 0.952 0.750
Pd 0.494 0.518 0.750
Pd 0.494 0.982 0.250
Pd 0.506 0.018 0.750
Pd 0.506 0.482 0.250
Pd 0.815 0.048 0.250
Pd 0.815 0.452 0.750

Calculated values
Total magnetization = 0.00 μB/f.u.
ΔE_f = -0.287 eV/atom
Density of states at the Fermi level = 1.540 states/eV/f.u.
Space-group type = P2_1/c
ΔE to the lowest computed polymorph = 9 meV/atom

***

Record 24
Material: GdErBr
Method: DFT, GGA-PBE
State: relaxed

abc: 3.717 3.717 7.269
angles: 90.00 90.00 120.00
Atoms (fractional coordinates):
Gd 0.000 0.000 0.000
Er 0.667 0.333 0.363
Br 0.333 0.667 0.676

Calculated values
Formation energy without anion corrections = -0.74 eV per atom
Total magnetization = 7.53 μB/f.u.
Density of states at the Fermi level = 2.931 states/eV/f.u.
Space-group type = P3m1